(1)
An optimized crystal structure of DyReGe2. Source: Alexandria via LeMat-Bulk, functional PBE.

Cell and atoms, written as CIF:
```
data_DyReGe2
_symmetry_space_group_name_H-M 'R -3 m'
_symmetry_Int_Tables_number 166
_symmetry_space_group_name_Hall '-R 3 2"'
_cell_length_a 4.6794
_cell_length_b 4.6794
_cell_length_c 11.1551
_cell_angle_alpha 90.00
_cell_angle_beta 90.00
_cell_angle_gamma 120.00
loop_
_atom_site_label
_atom_site_fract_x
_atom_site_fract_y
_atom_site_fract_z
_atom_site_occupancy
Dy1 0.0000 0.0000 0.0000 1
Re1 0.0000 0.0000 0.5000 1
Ge1 0.0000 0.0000 0.2526 1
```

Output
- spin magnetization (μB per atom) = 0.0000
- mass density (g/cm³) = 11.63
- energy of formation (eV per atom) = -0.139

(2)
An optimized crystal structure of SiHg2Os. Source: Alexandria via LeMat-Bulk, functional PBE.

Cell and atoms, written as CIF:
```
data_SiHg2Os
_symmetry_space_group_name_H-M 'C m m 2'
_symmetry_Int_Tables_number 35
_cell_length_a 3.041
_cell_length_b 4.870
_cell_length_c 11.048
_cell_angle_alpha 90.00
_cell_angle_beta 90.00
_cell_angle_gamma 90.00
loop_
_symmetry_equiv_pos_as_xyz
'x,y,z'
'-x,-y,z'
'-x,y,z'
'x,-y,z'
'x+1/2,y+1/2,z'
'-x+1/2,-y+1/2,z'
'-x+1/2,y+1/2,z'
'x+1/2,-y+1/2,z'
loop_
_atom_site_label
_atom_site_fract_x
_atom_site_fract_y
_atom_site_fract_z
_atom_site_occupancy
Si1 0.000 0.000 0.000 1
Hg1 0.000 0.000 0.400 1
Hg2 0.000 0.500 0.710 1
Os1 0.000 0.500 0.164 1
```

Output
- spin magnetization (μB per atom) = 0.0000
- E_form (uncorrected) (meV per atom) = 439
- mass density (g/cm³) = 12.57

(3)
An optimized crystal structure of BeIr2Os2. Source: Alexandria via LeMat-Bulk, functional PBE.

Cell and atoms, written as CIF:
```
data_BeIr2Os2
_symmetry_space_group_name_H-M 'I 4/m m m'
_symmetry_Int_Tables_number 139
_symmetry_space_group_name_Hall '-I 4 2'
_cell_length_a 3.519
_cell_length_b 3.519
_cell_length_c 12.846
_cell_angle_alpha 90.00
_cell_angle_beta 90.00
_cell_angle_gamma 90.00
loop_
_atom_site_label
_atom_site_fract_x
_atom_site_fract_y
_atom_site_fract_z
_atom_site_occupancy
Be1 0.000 0.000 0.000 1
Ir1 0.000 0.000 0.403 1
Os1 0.000 0.500 0.250 1
```

Output
- spin magnetization (μB per atom) = 0.0000
- mass density (g/cm³) = 16.16
- energy of formation (eV per atom) = 0.661

(4)
An optimized crystal structure of MnNi9Sb2. Source: Alexandria via LeMat-Bulk, functional PBE.

Cell and atoms, written as CIF:
```
data_MnNi9Sb2
_symmetry_space_group_name_H-M 'P 4/m m m'
_symmetry_Int_Tables_number 123
_symmetry_space_group_name_Hall '-P 4 2'
_cell_length_a 3.694
_cell_length_b 3.694
_cell_length_c 10.949
_cell_angle_alpha 90.00
_cell_angle_beta 90.00
_cell_angle_gamma 90.00
loop_
_atom_site_label
_atom_site_fract_x
_atom_site_fract_y
_atom_site_fract_z
_atom_site_occupancy
Mn1 0.000 0.000 0.000 1
Ni1 0.000 0.500 0.157 1
Ni2 0.000 0.500 0.500 1
Ni3 0.500 0.500 0.000 1
Ni4 0.500 0.500 0.333 1
Sb1 0.000 0.000 0.325 1
```

Output
- spin magnetization (μB per atom) = 0.4348
- E_form (uncorrected) (meV per atom) = -129
- mass density (g/cm³) = 9.19

(5)
An optimized crystal structure of Tl3PtC. Source: Alexandria via LeMat-Bulk, functional PBE.

Cell and atoms, written as CIF:
```
data_Tl3PtC
_symmetry_space_group_name_H-M 'P m -3 m'
_symmetry_Int_Tables_number 221
_symmetry_space_group_name_Hall '-P 4 2 3'
_cell_length_a 5.353
_cell_length_b 5.353
_cell_length_c 5.353
_cell_angle_alpha 90.00
_cell_angle_beta 90.00
_cell_angle_gamma 90.00
loop_
_atom_site_label
_atom_site_fract_x
_atom_site_fract_y
_atom_site_fract_z
_atom_site_occupancy
Tl1 0.000 0.000 0.500 1
Pt1 0.000 0.000 0.000 1
C1 0.500 0.500 0.500 1
```

Output
- spin magnetization (μB per atom) = 0.5627
- mass density (g/cm³) = 8.88
- energy of formation (eV per atom) = 1.195

(6)
An optimized crystal structure of Pr4RhAuBr2. Source: Alexandria via LeMat-Bulk, functional PBE.

Cell and atoms, written as CIF:
```
data_Pr4RhAuBr2
_symmetry_space_group_name_H-M 'P 1 2/m 1'
_symmetry_Int_Tables_number 10
_cell_length_a 7.436
_cell_length_b 4.236
_cell_length_c 8.192
_cell_angle_alpha 90.00
_cell_angle_beta 107.82
_cell_angle_gamma 90.00
loop_
_symmetry_equiv_pos_as_xyz
'x,y,z'
'-x,-y,-z'
'-x,y,-z'
'x,-y,z'
loop_
_atom_site_label
_atom_site_fract_x
_atom_site_fract_y
_atom_site_fract_z
_atom_site_occupancy
Pr1 0.228 0.000 0.200 1
Pr2 0.243 0.500 0.796 1
Rh1 0.000 0.500 0.000 1
Au1 0.500 0.000 0.000 1
Br1 0.000 0.000 0.500 1
Br2 0.500 0.500 0.500 1
```

Output
- spin magnetization (μB per atom) = 0.0000
- E_form (uncorrected) (meV per atom) = -1011
- mass density (g/cm³) = 6.92